1.
Below is an optimized crystal structure of Nb4CuSbC2, with properties calculated at the PBE level.

Cell and atoms, written as POSCAR:
```
Nb4CuSbC2
1.0
-1.838 -1.954 1.866
2.701 1.366 1.230
-7.022 10.349 3.921
C Cu Nb Sb
2 1 4 1
Cartesian
-2.147 1.838 2.671 C
-5.525 6.817 4.558 C
-3.511 5.175 1.961 Cu
-1.182 1.742 0.660 Nb
-1.240 3.837 2.798 Nb
-3.407 7.031 4.008 Nb
-5.840 8.607 3.261 Nb
1.188 0.260 1.442 Sb
```

Properties
DFT total energy = -8.601 eV/atom

2.
Below is an optimized crystal structure of Sc4Nb2Cu3C3, with properties calculated at the PBE level.

Cell and atoms, written as POSCAR:
```
Sc4Nb2Cu3C3
1.0
4.800 -2.784 0.000
4.800 2.784 0.000
-2.874 0.000 13.981
C Cu Nb Sc
6 6 4 8
Cartesian
4.059 -1.290 0.000 C
2.400 1.392 0.000 C
5.541 1.290 0.000 C
2.622 1.290 6.990 C
0.963 -1.392 6.990 C
4.105 -1.290 6.990 C
6.425 -0.905 3.484 Cu
4.082 -2.335 3.495 Cu
1.738 -0.905 3.506 Cu
4.989 0.905 10.474 Cu
2.645 2.335 10.486 Cu
0.301 0.905 10.497 Cu
3.952 0.487 1.198 Nb
4.211 0.487 5.792 Nb
2.515 -0.487 8.189 Nb
2.775 -0.487 12.783 Nb
0.809 0.405 1.239 Sc
7.253 0.489 1.241 Sc
0.911 0.489 5.749 Sc
7.354 0.405 5.751 Sc
-0.628 -0.405 8.230 Sc
5.816 -0.489 8.231 Sc
-0.526 -0.489 12.740 Sc
5.918 -0.405 12.741 Sc
```

Properties
DFT total energy = -7.241 eV/atom

3.
Below is an optimized crystal structure of Nb4CuSiC2, with properties calculated at the PBE level.

Cell and atoms, written as POSCAR:
```
Nb4CuSiC2
1.0
3.195 0.000 0.000
-1.598 2.767 0.000
0.000 0.000 12.825
C Cu Nb Si
2 1 4 1
Cartesian
1.598 0.922 3.193 C
1.598 0.922 9.632 C
0.000 0.000 6.413 Cu
0.000 0.000 1.950 Nb
0.000 1.845 4.361 Nb
0.000 1.845 8.465 Nb
0.000 0.000 10.876 Nb
0.000 1.845 0.000 Si
```

Properties
DFT total energy = -8.845 eV/atom

4.
Below is an optimized crystal structure of Nb4CuSnC2, with properties calculated at the PBE level.

Cell and atoms, written as POSCAR:
```
Nb4CuSnC2
1.0
-0.404 -3.148 0.508
1.875 1.012 -2.407
10.669 -0.031 8.299
C Cu Nb Sn
2 1 4 1
Cartesian
3.638 -0.382 0.527 C
9.261 -0.398 4.901 C
0.000 0.000 0.000 Cu
1.965 -1.766 0.788 Nb
3.475 -0.010 2.703 Nb
7.194 -0.021 5.596 Nb
9.415 -1.788 6.583 Nb
5.690 -1.777 3.686 Sn
```

Properties
DFT total energy = -8.615 eV/atom

5.
Below is an optimized crystal structure of Nb2Cu3W4C3, with properties calculated at the PBE level.

Cell and atoms, written as POSCAR:
```
Nb2Cu3W4C3
1.0
-3.619 3.254 2.089
-4.879 0.209 -2.048
-0.917 -10.680 8.139
C Cu Nb W
6 6 4 8
Cartesian
-2.440 0.105 -1.024 C
-5.237 1.276 -0.970 C
-4.326 -4.619 3.090 C
-2.268 -3.713 5.114 C
-5.088 -2.599 5.090 C
-4.177 -8.494 9.150 C
-2.271 -1.289 2.661 Cu
-3.926 0.395 3.868 Cu
-6.305 0.331 2.698 Cu
-3.110 -7.548 5.482 Cu
-5.489 -7.612 4.312 Cu
-7.143 -5.928 5.519 Cu
-4.092 0.128 0.598 Nb
-5.071 -2.505 2.833 Nb
-4.343 -4.713 5.347 Nb
-5.322 -7.345 7.582 Nb
-1.137 -0.781 0.311 W
-6.767 1.544 0.378 W
-2.393 -3.914 3.063 W
-8.047 -1.645 3.053 W
-1.368 -5.572 5.127 W
-7.021 -3.303 5.117 W
-2.648 -8.762 7.802 W
-8.278 -6.436 7.869 W
```

Properties
DFT total energy = -9.220 eV/atom

6.
Below is an optimized crystal structure of Nb4Cu3W2C3, with properties calculated at the PBE level.

Cell and atoms, written as POSCAR:
```
Nb4Cu3W2C3
1.0
-4.522 0.412 -2.955
-1.034 -3.633 -3.885
-4.503 -6.380 10.863
C Cu Nb W
6 6 8 4
Cartesian
-0.517 -1.816 -1.942 C
-2.370 -2.901 -4.227 C
-3.682 -5.545 2.351 C
-4.513 -2.984 3.954 C
-6.377 -4.055 1.672 C
-7.690 -6.699 8.250 C
-4.878 -3.414 -1.622 Cu
-2.645 -4.665 -1.040 Cu
-3.334 -2.528 0.321 Cu
-6.726 -7.072 3.702 Cu
-7.415 -4.935 5.062 Cu
-5.182 -6.187 5.645 Cu
-0.791 -1.305 0.192 Nb
-4.489 -3.481 -4.388 Nb
-2.726 -3.617 2.821 Nb
-6.462 -5.750 -1.748 Nb
-3.598 -3.850 5.771 Nb
-7.333 -5.984 1.201 Nb
-5.571 -6.119 8.411 Nb
-9.269 -8.296 3.831 Nb
-2.522 -2.283 -2.209 W
-4.695 -4.813 0.643 W
-5.365 -4.788 3.380 W
-7.538 -7.317 6.232 W
```

Properties
DFT total energy = -8.854 eV/atom

7.
Below is an optimized crystal structure of Nb4ZnCuC2, with properties calculated at the PBE level.

Cell and atoms, written as POSCAR:
```
Nb4ZnCuC2
1.0
3.150 0.000 0.000
-1.575 2.728 0.000
0.000 0.000 13.474
C Cu Nb Zn
2 1 4 1
Cartesian
0.000 1.819 3.308 C
0.000 1.819 10.166 C
0.000 0.000 0.000 Cu
1.575 0.909 2.088 Nb
0.000 0.000 4.518 Nb
0.000 0.000 8.956 Nb
1.575 0.909 11.386 Nb
1.575 0.909 6.737 Zn
```

Properties
DFT total energy = -8.241 eV/atom

8.
Below is an optimized crystal structure of Nd2Cu2C3, with properties calculated at the PBE level.

Cell and atoms, written as POSCAR:
```
Nd2Cu2C3
1.0
-2.387 -2.272 5.096
0.747 -4.078 4.432
2.608 3.990 1.458
C Cu Nd
3 2 2
Cartesian
0.000 0.000 0.000 C
-0.420 -3.484 7.490 C
1.389 1.125 3.496 C
0.595 0.359 1.834 Cu
0.373 -2.718 9.151 Cu
-0.144 -1.705 3.953 Nd
1.113 -0.655 7.033 Nd
```

Properties
DFT total energy = -5.974 eV/atom

9.
Below is an optimized crystal structure of Nd2CuWC3, with properties calculated at the PBE level.

Cell and atoms, written as POSCAR:
```
Nd2CuWC3
1.0
-4.964 -3.594 1.037
-2.136 -5.756 0.970
2.287 2.848 4.662
C Cu Nd W
3 1 2 1
Cartesian
-1.197 -1.611 1.468 C
-5.930 -7.887 4.226 C
-3.715 -5.022 5.282 C
0.722 0.818 4.079 Cu
-3.502 -4.669 2.846 Nd
-1.312 -1.841 4.038 Nd
-5.464 -7.221 2.410 W
```

Properties
DFT total energy = -7.684 eV/atom

10.
Below is an optimized crystal structure of CuNiW4C2, with properties calculated at the PBE level.

Cell and atoms, written as POSCAR:
```
CuNiW4C2
1.0
3.053 0.000 0.000
-1.526 2.644 0.000
0.000 0.000 12.766
C Cu Ni W
2 1 1 4
Cartesian
0.000 1.762 3.221 C
0.000 1.762 9.545 C
1.526 0.881 0.000 Cu
0.000 0.000 6.383 Ni
0.000 0.000 2.068 W
1.526 0.881 4.401 W
1.526 0.881 8.365 W
0.000 0.000 10.698 W
```

Properties
DFT total energy = -9.735 eV/atom

11.
Below is an optimized crystal structure of Zr4CuNiC2, with properties calculated at the PBE level.

Cell and atoms, written as POSCAR:
```
Zr4CuNiC2
1.0
3.325 0.000 0.000
-1.662 2.879 0.000
0.000 0.000 13.228
C Cu Ni Zr
2 1 1 4
Cartesian
0.000 1.920 3.349 C
0.000 1.920 9.879 C
0.000 0.000 0.000 Cu
1.662 0.960 6.614 Ni
1.662 0.960 2.059 Zr
0.000 0.000 4.687 Zr
0.000 0.000 8.541 Zr
1.662 0.960 11.169 Zr
```

Properties
DFT total energy = -8.162 eV/atom

12.
Below is an optimized crystal structure of Zr4CuNiC2, with properties calculated at the PBE level.

Cell and atoms, written as POSCAR:
```
Zr4CuNiC2
1.0
3.329 0.000 0.000
-1.665 2.883 0.000
0.000 0.000 13.205
C Cu Ni Zr
2 1 1 4
Cartesian
1.665 0.961 3.261 C
1.665 0.961 9.944 C
0.000 0.000 6.602 Cu
0.000 1.922 0.000 Ni
0.000 0.000 1.924 Zr
0.000 1.922 4.547 Zr
0.000 1.922 8.658 Zr
0.000 0.000 11.281 Zr
```

Properties
DFT total energy = -8.162 eV/atom